(1)
VASP calculation (GGA-PBE) on a geometry-optimized Y5ZnCu4 structure.

a = 3.4949 Å, b = 3.4949 Å, c = 17.5838 Å
α = 90.00°, β = 90.00°, γ = 90.00°
Positions (direct):
1 Zn 0.0000 0.0000 0.0000
2 Cu 0.0000 0.0000 0.7985
3 Cu 0.0000 0.0000 0.5987
4 Cu 0.0000 0.0000 0.2015
5 Cu 0.0000 0.0000 0.4013
6 Y 0.5000 0.5000 0.3016
7 Y 0.5000 0.5000 0.6984
8 Y 0.5000 0.5000 0.8963
9 Y 0.5000 0.5000 0.1037
10 Y 0.5000 0.5000 0.5000

Crystal system ... tetragonal

=====

(2)
VASP calculation (GGA-PBE) on a geometry-optimized CaAc2Ga structure.

a = 3.9827 Å, b = 3.9827 Å, c = 9.4209 Å
α = 90.00°, β = 90.00°, γ = 90.00°
Positions (direct):
1 Ac 0.0000 0.0000 0.1947
2 Ac 0.0000 0.0000 0.8053
3 Ca 0.5000 0.5000 0.5000
4 Ga 0.5000 0.5000 0.0000

Crystal system ... tetragonal

=====

no.,electronic total energy (eV per cell),magnetization (μB per formula unit),volume (Å³/cell)
1,-52.66,0.00,214.8
2,-14.02,0.00,149.4